Material: NaSrYFeO6
Method: DFT, GGA+U
State: optimized geometry

Calculated values
- density (g/cm³) = 4.4
- final energy (eV/f.u.) = -63.69

abc: 5.742 5.742 5.742
angles: 60.00 60.00 60.00
Sites, in units of the cell vectors:
1 Na 0.000 0.000 0.000
2 Sr 0.500 0.500 0.500
3 Y 0.250 0.250 0.250
4 Fe 0.750 0.750 0.750
5 O 0.521 0.521 0.979
6 O 0.521 0.979 0.521
7 O 0.521 0.979 0.979
8 O 0.979 0.521 0.521
9 O 0.979 0.521 0.979
10 O 0.979 0.979 0.521